1.
! Ac2Te4W GGA-PBE optimized geometry; values from VASP
&SYSTEM
  ibrav = 0, nat = 7, ntyp = 3
/
ATOMIC_SPECIES
Ac 227.00 Ac.upf
Te 127.60 Te.upf
W 183.84 W.upf
CELL_PARAMETERS angstrom
5.6557 -3.9019 0.0000
5.6557 3.9019 0.0000
-0.2134 0.0000 5.7791
ATOMIC_POSITIONS angstrom
Ac 1.6365 0.0000 1.5383
Ac 9.4615 0.0000 4.2408
Te 4.2908 2.0262 1.4537
Te 6.8071 2.0262 4.3254
Te 4.2908 -2.0262 1.4537
Te 6.8071 -2.0262 4.3254
W 5.5490 0.0000 2.8895
! Calculated total energy: -5.45 eV per atom

2.
! ErLuCoGe2 GGA-PBE optimized geometry; values from VASP
&SYSTEM
  ibrav = 0, nat = 10, ntyp = 4
/
ATOMIC_SPECIES
Er 167.26 Er.upf
Lu 174.97 Lu.upf
Co 58.93 Co.upf
Ge 72.64 Ge.upf
CELL_PARAMETERS angstrom
5.1328 -2.0794 0.0000
5.1328 2.0794 0.0000
-4.6361 0.0000 8.9010
ATOMIC_POSITIONS angstrom
Er 1.3936 0.0000 1.0138
Er 4.2359 0.0000 7.8873
Lu -1.4821 0.0000 2.9699
Lu 7.1117 0.0000 5.9311
Co -0.1785 0.0000 5.7710
Co 5.8081 0.0000 3.1300
Ge 1.5366 0.0000 3.8882
Ge 4.3901 0.0000 1.1070
Ge 1.2394 0.0000 7.7941
Ge 4.0930 0.0000 5.0128
! Calculated total energy: -5.84 eV per atom

3.
! Re4Ni11 GGA-PBE optimized geometry; values from VASP
&SYSTEM
  ibrav = 0, nat = 30, ntyp = 2
/
ATOMIC_SPECIES
Re 186.21 Re.upf
Ni 58.69 Ni.upf
CELL_PARAMETERS angstrom
8.8090 0.0000 0.0000
0.0000 8.8090 0.0000
0.0000 0.0000 4.5847
ATOMIC_POSITIONS angstrom
Re 0.3091 3.2196 0.0000
Re 1.1849 4.7136 2.2923
Re 3.2196 0.3091 0.0000
Re 4.0954 7.6241 2.2923
Re 4.7136 1.1849 2.2923
Re 5.5894 8.4999 0.0000
Re 7.6241 4.0954 2.2923
Re 8.4999 5.5894 0.0000
Ni 0.0000 0.0000 2.2923
Ni 0.5832 2.2401 2.2923
Ni 0.8370 0.8370 0.0000
Ni 1.5994 7.2096 1.1443
Ni 1.5994 7.2096 3.4404
Ni 2.1644 4.9877 0.0000
Ni 2.2401 0.5832 2.2923
Ni 2.8051 2.8051 1.1480
Ni 2.8051 2.8051 3.4366
Ni 3.5675 5.2415 2.2923
Ni 3.8213 6.6446 0.0000
Ni 4.4045 4.4045 0.0000
Ni 4.9877 2.1644 0.0000
Ni 5.2415 3.5675 2.2923
Ni 6.0039 6.0039 1.1480
Ni 6.0039 6.0039 3.4366
Ni 6.5689 8.2258 2.2923
Ni 6.6446 3.8213 0.0000
Ni 7.2096 1.5994 1.1443
Ni 7.2096 1.5994 3.4404
Ni 7.9720 7.9720 0.0000
Ni 8.2258 6.5689 2.2923
! Energy relative to the elements: 1.24 eV/f.u.
! Excess energy over the best structure of this formula in the dataset: 0 meV/atom

4.
! MgUAs GGA-PBE optimized geometry; values from VASP
&SYSTEM
  ibrav = 0, nat = 3, ntyp = 3
/
ATOMIC_SPECIES
Mg 24.30 Mg.upf
U 238.03 U.upf
As 74.92 As.upf
CELL_PARAMETERS angstrom
0.0000 3.4298 3.4298
3.4298 0.0000 3.4298
3.4298 3.4298 0.0000
ATOMIC_POSITIONS angstrom
Mg 0.0000 0.0000 0.0000
U 5.1447 5.1447 5.1447
As 3.4298 3.4298 3.4298
! Calculated total energy: -5.45 eV per atom

5.
! BaSm2 GGA-PBE optimized geometry; values from VASP
&SYSTEM
  ibrav = 0, nat = 6, ntyp = 2
/
ATOMIC_SPECIES
Ba 137.33 Ba.upf
Sm 150.36 Sm.upf
CELL_PARAMETERS angstrom
0.0000 6.7303 6.7303
6.7303 0.0000 6.7303
6.7303 6.7303 0.0000
ATOMIC_POSITIONS angstrom
Ba 1.6826 1.6826 1.6826
Ba 11.7781 11.7781 11.7781
Sm 0.0000 0.0000 0.0000
Sm 3.3652 3.3652 0.0000
Sm 3.3652 0.0000 3.3652
Sm 0.0000 3.3652 3.3652
! Excess energy over the best structure of this formula in the dataset: 2192 meV/atom

6.
! TmNpNb GGA-PBE optimized geometry; values from VASP
&SYSTEM
  ibrav = 0, nat = 3, ntyp = 3
/
ATOMIC_SPECIES
Tm 168.93 Tm.upf
Np 237.00 Np.upf
Nb 92.91 Nb.upf
CELL_PARAMETERS angstrom
0.0000 3.4033 3.4033
3.4033 0.0000 3.4033
3.4033 3.4033 0.0000
ATOMIC_POSITIONS angstrom
Tm 0.0000 0.0000 0.0000
Np 3.4033 3.4033 3.4033
Nb 5.1049 5.1049 5.1049
! Energy relative to the elements: 2.84 eV/f.u.
! Excess energy over the best structure of this formula in the dataset: 0 meV/atom

7.
! Cu4Ag GGA-PBE optimized geometry; values from VASP
&SYSTEM
  ibrav = 0, nat = 5, ntyp = 2
/
ATOMIC_SPECIES
Cu 63.55 Cu.upf
Ag 107.87 Ag.upf
CELL_PARAMETERS angstrom
-1.3531 1.3531 8.8792
1.3531 -1.3531 8.8792
1.3531 1.3531 -8.8792
ATOMIC_POSITIONS angstrom
Cu 0.0000 0.0000 1.9815
Cu 0.0000 0.0000 5.2583
Cu 0.0000 0.0000 12.5001
Cu 0.0000 0.0000 15.7768
Ag 0.0000 0.0000 8.8792
! Energy relative to the elements: 0.29 eV/f.u.
! Excess energy over the best structure of this formula in the dataset: 15 meV/atom

8.
! MgAlAg6 GGA-PBE optimized geometry; values from VASP
&SYSTEM
  ibrav = 0, nat = 8, ntyp = 3
/
ATOMIC_SPECIES
Mg 24.30 Mg.upf
Al 26.98 Al.upf
Ag 107.87 Ag.upf
CELL_PARAMETERS angstrom
5.7715 0.0000 0.0000
-2.8858 4.9983 0.0000
0.0000 0.0000 4.7233
ATOMIC_POSITIONS angstrom
Mg 0.0000 0.0000 0.0000
Al 0.0000 3.3322 2.3617
Ag -1.4234 2.5104 0.0000
Ag 1.4379 0.8302 2.3617
Ag 1.4234 2.5104 0.0000
Ag 0.0000 4.9757 0.0000
Ag 4.3336 0.8302 2.3617
Ag 2.8858 3.3379 2.3617
! Calculated total energy: -2.89 eV per atom

| no. | calculated volume (Å³ per cell) |
| --- | --- |
| 1 | 255 |
| 2 | 190 |
| 3 | 356 |
| 4 | 81 |
| 5 | 610 |
| 6 | 79 |
| 7 | 65 |
| 8 | 136 |